Entry 1:
This record from Alexandria via LeMat-Bulk describes crystalline Ce12Pu2Pt5 at its relaxed geometry. The functional is PBE-GGA.

Results
Density of states at the Fermi level in states/eV/cell: 85.10
Raw total energy in eV per atom: -7.26
Density in g/cm3: 11.1

Unit cell a=18.626 b=6.971 c=8.065 alpha=90.00 beta=115.54 gamma=90.00
Space group C2/m (No. 12)
Inequivalent atoms, fractional coordinates:
Ce 0.000 0.000 0.211 x4
Ce 0.001 0.500 0.680 x4
Ce 0.151 0.220 0.650 x8
Ce 0.157 0.278 0.156 x8
Pu 0.000 0.187 0.500 x4
Pt 0.000 0.500 0.000 x2
Pt 0.249 0.000 0.468 x4
Pt 0.250 0.000 0.031 x4



Entry 2:
This record from Alexandria via LeMat-Bulk describes crystalline TaCuHg at its relaxed geometry. The functional is PBE-GGA.

Results
Density of states at the Fermi level in states/eV/cell: 2.65
Raw total energy in eV per atom: -5.01
Density in g/cm3: 14.5

Unit cell a=4.5045 b=4.5045 c=2.9076 alpha=90.00 beta=90.00 gamma=120.00
Space group P-6m2 (No. 187)
Inequivalent atoms, fractional coordinates:
Ta 0.0000 0.0000 0.0000 x1
Cu 0.6667 0.3333 0.5000 x1
Hg 0.3333 0.6667 0.5000 x1



Entry 3:
This record from Alexandria via LeMat-Bulk describes crystalline PmGeC at its relaxed geometry. The functional is PBE-GGA.

Results
Density of states at the Fermi level in states/eV/cell: 1.59
Raw total energy in eV per atom: -6.61
Density in g/cm3: 6.4

Unit cell a=3.919 b=4.041 c=8.572 alpha=94.31 beta=90.05 gamma=118.80
Space group P-1 (No. 2)
Inequivalent atoms, fractional coordinates:
Pm 0.142 0.286 0.181 x2
Ge 0.172 0.343 0.565 x2
C 0.430 0.859 0.046 x2



Entry 4:
This record from Alexandria via LeMat-Bulk describes crystalline La2TbDy5Sc at its relaxed geometry. The functional is PBE-GGA.

Results
Density of states at the Fermi level in states/eV/cell: 46.50
Raw total energy in eV per atom: -4.72
Density in g/cm3: 7.4

Unit cell a=5.592 b=19.961 c=10.468 alpha=90.00 beta=90.00 gamma=90.00
Space group Cmc2_1 (No. 36)
Inequivalent atoms, fractional coordinates:
La 0.000 0.114 0.000 x4
La 0.000 0.116 0.421 x4
Tb 0.000 0.409 0.149 x4
Dy 0.000 0.015 0.704 x4
Dy 0.000 0.276 0.006 x4
Dy 0.000 0.296 0.388 x4
Dy 0.000 0.374 0.705 x4
Dy 0.000 0.484 0.428 x4
Sc 0.000 0.197 0.700 x4



Entry 5:
This record from Alexandria via LeMat-Bulk describes crystalline ReTcAs2Br at its relaxed geometry. The functional is PBE-GGA.

Results
Density of states at the Fermi level in states/eV/cell: 3.10
Raw total energy in eV per atom: -5.54
Density in g/cm3: 7.0
Formation energy (no corrections) in eV per atom: 1.216

Unit cell a=4.744 b=4.744 c=5.448 alpha=90.00 beta=90.00 gamma=90.00
Space group P4/mmm (No. 123)
Inequivalent atoms, fractional coordinates:
Re 0.000 0.000 0.000 x1
Tc 0.500 0.500 0.500 x1
As 0.000 0.500 0.000 x2
Br 0.000 0.000 0.500 x1



Entry 6:
This record from Alexandria via LeMat-Bulk describes crystalline ScHgMo at its relaxed geometry. The functional is PBE-GGA.

Results
Density of states at the Fermi level in states/eV/cell: 6.15
Raw total energy in eV per atom: -5.05
Density in g/cm3: 8.0

Unit cell a=6.558 b=6.558 c=6.558 alpha=90.00 beta=90.00 gamma=90.00
Space group F-43m (No. 216)
Inequivalent atoms, fractional coordinates:
Sc 0.000 0.000 0.000 x4
Hg 0.000 0.000 0.500 x4
Mo 0.250 0.250 0.750 x4



Entry 7:
This record from Alexandria via LeMat-Bulk describes crystalline LiCaIr2 at its relaxed geometry. The functional is PBE-GGA.

Results
Density of states at the Fermi level in states/eV/cell: 2.45
Raw total energy in eV per atom: -5.53
Density in g/cm3: 10.9

Unit cell a=2.809 b=4.408 c=5.455 alpha=90.00 beta=103.98 gamma=90.00
Space group P2/m (No. 10)
Inequivalent atoms, fractional coordinates:
Li 0.000 0.000 0.000 x1
Ca 0.500 0.000 0.500 x1
Ir 0.155 0.500 0.787 x2



Entry 8:
This record from Alexandria via LeMat-Bulk describes crystalline TbDyY2Ho2 at its relaxed geometry. The functional is PBE-GGA.

Results
Density of states at the Fermi level in states/eV/cell: 18.74
Raw total energy in eV per atom: -4.95
Density in g/cm3: 7.0

Unit cell a=6.521 b=17.709 c=3.385 alpha=90.00 beta=90.00 gamma=90.00
Space group Pnnm (No. 58)
Inequivalent atoms, fractional coordinates:
Tb 0.000 0.000 0.000 x2
Dy 0.000 0.500 0.000 x2
Y 0.229 0.185 0.000 x4
Ho 0.227 0.353 0.500 x4



Entry 9:
This record from Alexandria via LeMat-Bulk describes crystalline Ca4TmSc3Se8 at its relaxed geometry. The functional is PBE-GGA.

Results
Density of states at the Fermi level in states/eV/cell: 19.03
Raw total energy in eV per atom: -5.50
Density in g/cm3: 4.9
Formation energy (no corrections) in eV per atom: -1.795

Unit cell a=8.0346 b=8.0346 c=20.1109 alpha=90.00 beta=90.00 gamma=120.00
Space group R-3m (No. 166, hexagonal axes)
Inequivalent atoms, fractional coordinates:
Ca 0.0000 0.0000 0.0000 x3
Ca 0.0000 0.5000 0.0000 x9
Tm 0.0000 0.0000 0.5000 x3
Sc 0.0000 0.5000 0.5000 x9
Se 0.0000 0.0000 0.2440 x6
Se 0.0043 0.5022 0.7549 x18



Entry 10:
This record from Alexandria via LeMat-Bulk describes crystalline Pm6SmPb6 at its relaxed geometry. The functional is PBE-GGA.

Results
Density of states at the Fermi level in states/eV/cell: 14.16
Raw total energy in eV per atom: -4.57
Density in g/cm3: 8.4

Unit cell a=7.4144 b=7.4144 c=9.4227 alpha=90.00 beta=90.00 gamma=120.00
Space group P6/mmm (No. 191)
Inequivalent atoms, fractional coordinates:
Pm 0.0000 0.5000 0.2477 x6
Sm 0.0000 0.0000 0.5000 x1
Pb 0.0000 0.0000 0.1647 x2
Pb 0.3333 0.6667 0.0000 x2
Pb 0.3333 0.6667 0.5000 x2



Entry 11:
This record from Alexandria via LeMat-Bulk describes crystalline EuYLu2 at its relaxed geometry. The functional is PBE-GGA.

Results
Density of states at the Fermi level in states/eV/cell: 29.90
Raw total energy in eV per atom: -6.29
Density in g/cm3: 7.6

Unit cell a=8.025 b=8.025 c=8.025 alpha=90.00 beta=90.00 gamma=90.00
Space group Fm-3m (No. 225)
Inequivalent atoms, fractional coordinates:
Eu 0.000 0.000 0.000 x4
Y 0.000 0.000 0.500 x4
Lu 0.250 0.250 0.250 x8



Entry 12:
This record from Alexandria via LeMat-Bulk describes crystalline K2MgCo at its relaxed geometry. The functional is PBE-GGA.

Results
Density of states at the Fermi level in states/eV/cell: 10.15
Raw total energy in eV per atom: -2.14
Density in g/cm3: 1.6

Unit cell a=7.927 b=4.547 c=9.380 alpha=90.00 beta=105.42 gamma=90.00
Space group Cm (No. 8)
Inequivalent atoms, fractional coordinates:
K 0.000 0.000 0.000 x2
K 0.172 0.000 0.545 x2
Mg 0.419 0.000 0.275 x2
Co 0.249 0.500 0.266 x2